Record 1
Computed, not measured: an optimized crystal structure of Ac2Ag15Pd2 at the PBE level of DFT.

abc: 7.351 7.351 7.351
angles: 83.06 83.06 83.06
Fractional positions:
Ac 0.322 0.322 0.322
Ag 0.000 0.708 0.292
Ac 0.678 0.678 0.678
Ag 0.000 0.500 0.000
Ag 0.650 0.650 0.155
Ag 0.845 0.350 0.350
Ag 0.708 0.000 0.292
Ag 0.292 0.000 0.708
Pd 0.897 0.897 0.897
Ag 0.500 0.000 0.000
Ag 0.155 0.650 0.650
Ag 0.350 0.350 0.845
Ag 0.000 0.292 0.708
Ag 0.292 0.708 0.000
Ag 0.650 0.155 0.650
Ag 0.708 0.292 0.000
Ag 0.000 0.000 0.500
Ag 0.350 0.845 0.350
Pd 0.103 0.103 0.103

Results
ΔH_f (0 K) = -0.13 eV per atom



Record 2
Computed, not measured: an optimized crystal structure of SbAs2PSe at the PBE level of DFT.

abc: 4.789 4.789 4.901
angles: 90.00 90.00 90.00
Fractional positions:
P 0.000 0.000 0.000
Se 0.000 0.000 0.500
As 0.500 0.000 0.000
Sb 0.500 0.500 0.500
As 0.000 0.500 0.000

Results
energy relative to the lowest polymorph listed for this composition = 0.0 meV per atom



Record 3
Computed, not measured: an optimized crystal structure of CdHRh3 at the PBE level of DFT.

abc: 4.499 4.499 7.826
angles: 90.00 90.00 120.00
Each line ends with the local moment (μB).
Fractional positions:
Cd 0.667 0.333 0.250  0.01
Rh 0.333 0.667 0.413  0.50
H 0.000 0.000 0.500  0.01
Rh 0.000 0.000 0.250  0.18
Rh 0.000 0.000 0.750  0.18
Rh 0.667 0.333 0.913  0.46
Rh 0.333 0.667 0.087  0.46
H 0.000 0.000 0.000  0.01
Cd 0.333 0.667 0.750  0.01
Rh 0.667 0.333 0.587  0.50

Results
energy relative to the lowest polymorph listed for this composition = 432.9 meV per atom



Calculated values (eV for the cell shown) of raw total energy for the records, taken in order: -63.9, -19.6, -48.5.